1.
VASP calculation (GGA-PBE) on a geometry-optimized NaPuBi2 structure.

Results
The total magnetization is 5.51 μB per formula unit. Its calculated volume is 28.9 Å³ per atom. The value obtained for the density of states at the Fermi level is 3.16 states/eV/atom. Its space group is No. 123. The energy above the most stable polymorph in this dataset comes out at 38 meV per atom.

```
data_NaPuBi2
_chemical_formula_sum 'Na1 Pu1 Bi2'
_cell_length_a 4.423
_cell_length_b 5.115
_cell_length_c 5.115
_cell_angle_alpha 90.00
_cell_angle_beta 90.00
_cell_angle_gamma 90.00
_space_group_name_H-M_alt 'P 1'
_space_group_IT_number 1
loop_
_space_group_symop_operation_xyz
'x,y,z'
loop_
_atom_site_label
_atom_site_type_symbol
_atom_site_fract_x
_atom_site_fract_y
_atom_site_fract_z
_atom_site_occupancy
Na1 Na 0.500 0.000 0.000 1
Bi1 Bi 0.000 0.000 0.500 1
Bi2 Bi 0.000 0.500 0.000 1
Pu1 Pu 0.500 0.500 0.500 1
```

=====

2.
VASP calculation (GGA-PBE) on a geometry-optimized LiCrPt structure.

Results
The total magnetization is 0.00 μB per formula unit. Its calculated volume is 12.7 Å³ per atom. The value obtained for the density of states at the Fermi level is 0.76 states/eV/atom. Its space group is No. 63. The energy above the most stable polymorph in this dataset comes out at 61 meV per atom.

```
data_LiCrPt
_chemical_formula_sum 'Li4 Cr4 Pt4'
_cell_length_a 3.966
_cell_length_b 13.419
_cell_length_c 2.866
_cell_angle_alpha 90.00
_cell_angle_beta 90.00
_cell_angle_gamma 90.00
_space_group_name_H-M_alt 'P 1'
_space_group_IT_number 1
loop_
_space_group_symop_operation_xyz
'x,y,z'
loop_
_atom_site_label
_atom_site_type_symbol
_atom_site_fract_x
_atom_site_fract_y
_atom_site_fract_z
_atom_site_occupancy
Cr1 Cr 0.000 0.248 0.250 1
Cr2 Cr 0.000 0.752 0.750 1
Cr3 Cr 0.500 0.748 0.250 1
Cr4 Cr 0.500 0.252 0.750 1
Pt1 Pt 0.000 0.593 0.250 1
Pt2 Pt 0.000 0.407 0.750 1
Pt3 Pt 0.500 0.093 0.250 1
Pt4 Pt 0.500 0.907 0.750 1
Li1 Li 0.000 0.923 0.250 1
Li2 Li 0.000 0.077 0.750 1
Li3 Li 0.500 0.423 0.250 1
Li4 Li 0.500 0.577 0.750 1
```

=====

3.
VASP calculation (GGA-PBE) on a geometry-optimized RePAuS2 structure.

Results
The total magnetization is 0.00 μB per formula unit. Its calculated volume is 20.2 Å³ per atom. The value obtained for the density of states at the Fermi level is 0.72 states/eV/atom. Its space group is No. 123. Its uncorrected formation energy is 0.62 eV per atom. The energy above the most stable polymorph in this dataset comes out at 0 meV per atom.

```
data_RePAuS2
_chemical_formula_sum 'Re1 P1 Au1 S2'
_cell_length_a 4.491
_cell_length_b 4.491
_cell_length_c 4.999
_cell_angle_alpha 90.00
_cell_angle_beta 90.00
_cell_angle_gamma 90.00
_space_group_name_H-M_alt 'P 1'
_space_group_IT_number 1
loop_
_space_group_symop_operation_xyz
'x,y,z'
loop_
_atom_site_label
_atom_site_type_symbol
_atom_site_fract_x
_atom_site_fract_y
_atom_site_fract_z
_atom_site_occupancy
Re1 Re 0.000 0.000 0.000 1
S1 S 0.000 0.500 0.000 1
S2 S 0.500 0.000 0.000 1
Au1 Au 0.500 0.500 0.500 1
P1 P 0.000 0.000 0.500 1
```

=====

4.
VASP calculation (GGA-PBE) on a geometry-optimized Dy3TlHSe structure.

Results
The total magnetization is 0.00 μB per formula unit. Its calculated volume is 24.2 Å³ per atom. The value obtained for the density of states at the Fermi level is 0.48 states/eV/atom. As for the calculated total energy: -4.673 eV/atom. Its space group is No. 11.

```
data_Dy3TlHSe
_chemical_formula_sum 'Dy6 Tl2 H2 Se2'
_cell_length_a 4.080
_cell_length_b 8.366
_cell_length_c 8.638
_cell_angle_alpha 100.21
_cell_angle_beta 90.00
_cell_angle_gamma 90.00
_space_group_name_H-M_alt 'P 1'
_space_group_IT_number 1
loop_
_space_group_symop_operation_xyz
'x,y,z'
loop_
_atom_site_label
_atom_site_type_symbol
_atom_site_fract_x
_atom_site_fract_y
_atom_site_fract_z
_atom_site_occupancy
Dy1 Dy 0.750 0.887 0.129 1
Dy2 Dy 0.250 0.113 0.871 1
Dy3 Dy 0.250 0.827 0.469 1
Dy4 Dy 0.750 0.173 0.531 1
Dy5 Dy 0.750 0.421 0.186 1
Dy6 Dy 0.250 0.579 0.814 1
Tl1 Tl 0.250 0.163 0.249 1
Tl2 Tl 0.750 0.837 0.751 1
H1 H 0.250 0.087 0.600 1
H2 H 0.750 0.913 0.400 1
Se1 Se 0.250 0.651 0.151 1
Se2 Se 0.750 0.349 0.849 1
```